DFT (PBE with a Hubbard U) results for an optimized crystal structure of Li2CrIrO6.

Cell and atoms, written as POSCAR:
```
Li2CrIrO6
1.0
-1.7117 -1.8355 -2.8770
-0.1406 -4.5650 2.9961
-4.8804 1.4492 1.9791
O Li Cr Ir
6 2 1 1
Cartesian
-2.4829 -2.1014 -0.8554
-4.9492 -1.3691 0.1447
-0.3392 -0.3637 -0.5701
-5.0202 -3.6759 1.6588
-2.5539 -4.4083 0.6587
-2.8646 -1.9376 1.8924
-1.6073 -3.9307 -1.0853
-3.9772 -0.9236 -1.5938
-1.1026 -1.1824 -1.8533
-3.7115 -2.8457 0.4690
```

Output
Electronic total energy   -61.560 eV per cell
Calculated volume   114 Å³ per cell
N(E_F)   0.392 states/eV per atom